1.
# SmDyLuSc

A relaxed SmDyLuSc crystal (PBE, Alexandria).

Output
DFT total energy = -4.946 eV per atom
formation enthalpy at 0 K = 0.098 eV per atom
ρ = 7.4 g/cm3

The structure in POSCAR format:
```
SmDyLuSc
1.0
7.814 0.000 0.000
0.000 7.814 0.000
0.000 0.000 7.814
Sm Dy Lu Sc
4 4 4 4
direct
0.000 0.000 0.000
0.000 0.500 0.500
0.500 0.000 0.500
0.500 0.500 0.000
0.000 0.000 0.500
0.000 0.500 0.000
0.500 0.000 0.000
0.500 0.500 0.500
0.250 0.250 0.250
0.250 0.750 0.750
0.750 0.250 0.750
0.750 0.750 0.250
0.250 0.250 0.750
0.250 0.750 0.250
0.750 0.250 0.250
0.750 0.750 0.750
```

=====

2.
# DyLuScTi

A relaxed DyLuScTi crystal (PBE, Alexandria).

Output
DFT total energy = -5.626 eV per atom
formation enthalpy at 0 K = 0.212 eV per atom
ρ = 7.0 g/cm3

The structure in POSCAR format:
```
DyLuScTi
1.0
7.425 0.000 0.000
0.000 7.425 0.000
0.000 0.000 7.425
Dy Lu Sc Ti
4 4 4 4
direct
0.000 0.000 0.000
0.000 0.500 0.500
0.500 0.000 0.500
0.500 0.500 0.000
0.000 0.000 0.500
0.000 0.500 0.000
0.500 0.000 0.000
0.500 0.500 0.500
0.250 0.250 0.250
0.250 0.750 0.750
0.750 0.250 0.750
0.750 0.750 0.250
0.250 0.250 0.750
0.250 0.750 0.250
0.750 0.250 0.250
0.750 0.750 0.750
```

=====

3.
# DyTmLuSc

A relaxed DyTmLuSc crystal (PBE, Alexandria).

Output
DFT total energy = -4.864 eV per atom
formation enthalpy at 0 K = 0.118 eV per atom
ρ = 7.9 g/cm3

The structure in POSCAR format:
```
DyTmLuSc
1.0
7.742 0.000 0.000
0.000 7.742 0.000
0.000 0.000 7.742
Dy Tm Lu Sc
4 4 4 4
direct
0.000 0.000 0.000
0.000 0.500 0.500
0.500 0.000 0.500
0.500 0.500 0.000
0.000 0.000 0.500
0.000 0.500 0.000
0.500 0.000 0.000
0.500 0.500 0.500
0.250 0.250 0.750
0.250 0.750 0.250
0.750 0.250 0.250
0.750 0.750 0.750
0.250 0.250 0.250
0.250 0.750 0.750
0.750 0.250 0.750
0.750 0.750 0.250
```

=====

4.
# DyYLuSc

A relaxed DyYLuSc crystal (PBE, Alexandria).

Output
DFT total energy = -5.368 eV per atom
formation enthalpy at 0 K = 0.112 eV per atom
ρ = 6.6 g/cm3

The structure in POSCAR format:
```
DyYLuSc
1.0
7.790 0.000 0.000
0.000 7.790 0.000
0.000 0.000 7.790
Dy Y Lu Sc
4 4 4 4
direct
0.000 0.000 0.000
0.000 0.500 0.500
0.500 0.000 0.500
0.500 0.500 0.000
0.000 0.000 0.500
0.000 0.500 0.000
0.500 0.000 0.000
0.500 0.500 0.500
0.250 0.250 0.750
0.250 0.750 0.250
0.750 0.250 0.250
0.750 0.750 0.750
0.250 0.250 0.250
0.250 0.750 0.750
0.750 0.250 0.750
0.750 0.750 0.250
```

=====

5.
# DyLuSe

A relaxed DyLuSe crystal (PBE, Alexandria).

Output
DFT total energy = -5.278 eV per atom
ρ = 8.5 g/cm3
energy relative to the lowest polymorph listed for this composition = 0.0 kJ/mol of formula units

The structure in POSCAR format:
```
DyLuSe
1.0
3.806 0.000 0.000
-1.903 3.296 0.000
0.000 0.000 6.457
Dy Lu Se
1 1 1
direct
0.000 0.000 0.000
0.333 0.667 0.565
0.667 0.333 0.288
```

=====

6.
# DyLuSe2

A relaxed DyLuSe2 crystal (PBE, Alexandria).

Output
DFT total energy = -5.695 eV per atom
ρ = 8.9 g/cm3

The structure in POSCAR format:
```
DyLuSe2
1.0
4.016 0.000 0.000
-2.008 3.478 0.000
0.000 0.000 19.876
Dy Lu Se
3 3 6
direct
0.000 0.000 0.000
0.333 0.667 0.667
0.667 0.333 0.333
0.000 0.000 0.500
0.333 0.667 0.167
0.667 0.333 0.833
0.000 0.000 0.247
0.000 0.000 0.753
0.333 0.667 0.420
0.333 0.667 0.914
0.667 0.333 0.086
0.667 0.333 0.580
```

=====

7.
# DyLuSe

A relaxed DyLuSe crystal (PBE, Alexandria).

Output
DFT total energy = -5.144 eV per atom
ρ = 9.1 g/cm3
energy relative to the lowest polymorph listed for this composition = 38.7 kJ/mol of formula units

The structure in POSCAR format:
```
DyLuSe
1.0
3.562 0.000 0.000
0.000 3.562 0.000
0.000 0.000 12.045
Dy Lu Se
2 2 2
direct
0.000 0.000 0.000
0.500 0.500 0.500
0.000 0.000 0.705
0.500 0.500 0.205
0.000 0.000 0.349
0.500 0.500 0.849
```

=====

8.
# Dy2LuSe

A relaxed Dy2LuSe crystal (PBE, Alexandria).

Output
DFT total energy = -4.818 eV per atom
ρ = 8.0 g/cm3
energy relative to the lowest polymorph listed for this composition = 63.1 kJ/mol of formula units

The structure in POSCAR format:
```
Dy2LuSe
1.0
3.697 0.000 0.000
-1.848 3.201 0.000
0.000 0.000 30.652
Dy Lu Se
6 3 3
direct
0.000 0.000 0.108
0.000 0.000 0.892
0.333 0.667 0.559
0.333 0.667 0.774
0.667 0.333 0.226
0.667 0.333 0.441
0.000 0.000 0.000
0.333 0.667 0.667
0.667 0.333 0.333
0.000 0.000 0.500
0.333 0.667 0.167
0.667 0.333 0.833
```

=====

9.
# Dy2LuSe

A relaxed Dy2LuSe crystal (PBE, Alexandria).

Output
DFT total energy = -4.981 eV per atom
ρ = 8.9 g/cm3
energy relative to the lowest polymorph listed for this composition = 0.0 kJ/mol of formula units

The structure in POSCAR format:
```
Dy2LuSe
1.0
3.577 0.000 0.000
0.000 3.577 0.000
0.000 0.000 8.441
Dy Lu Se
2 1 1
direct
0.000 0.000 0.211
0.000 0.000 0.789
0.500 0.500 0.500
0.500 0.500 0.000
```

=====

10.
# Dy2LuSi

A relaxed Dy2LuSi crystal (PBE, Alexandria).

Output
DFT total energy = -4.740 eV per atom
ρ = 7.6 g/cm3

The structure in POSCAR format:
```
Dy2LuSi
1.0
3.544 0.000 0.000
-1.772 3.069 0.000
0.000 0.000 32.013
Dy Lu Si
6 3 3
direct
0.000 0.000 0.105
0.000 0.000 0.895
0.333 0.667 0.562
0.333 0.667 0.772
0.667 0.333 0.228
0.667 0.333 0.438
0.000 0.000 0.000
0.333 0.667 0.667
0.667 0.333 0.333
0.000 0.000 0.500
0.333 0.667 0.167
0.667 0.333 0.833
```

=====

11.
# DyLuZnSi

A relaxed DyLuZnSi crystal (PBE, Alexandria).

Output
DFT total energy = -4.399 eV per atom
ρ = 8.5 g/cm3

The structure in POSCAR format:
```
DyLuZnSi
1.0
6.957 0.000 0.000
0.000 6.957 0.000
0.000 0.000 6.957
Dy Lu Zn Si
4 4 4 4
direct
0.000 0.000 0.000
0.000 0.500 0.500
0.500 0.000 0.500
0.500 0.500 0.000
0.000 0.000 0.500
0.000 0.500 0.000
0.500 0.000 0.000
0.500 0.500 0.500
0.250 0.250 0.250
0.250 0.750 0.750
0.750 0.250 0.750
0.750 0.750 0.250
0.250 0.250 0.750
0.250 0.750 0.250
0.750 0.250 0.250
0.750 0.750 0.750
```

=====

12.
# SmDyLu2

A relaxed SmDyLu2 crystal (PBE, Alexandria).

Output
DFT total energy = -4.561 eV per atom
formation enthalpy at 0 K = 0.030 eV per atom
ρ = 8.9 g/cm3

The structure in POSCAR format:
```
SmDyLu2
1.0
3.529 0.000 0.000
0.000 3.529 0.000
0.000 0.000 9.919
Sm Dy Lu
1 1 2
direct
0.000 0.000 0.000
0.000 0.000 0.500
0.500 0.500 0.253
0.500 0.500 0.747
```

=====

13.
# SmDyLu2

A relaxed SmDyLu2 crystal (PBE, Alexandria).

Output
DFT total energy = -4.562 eV per atom
formation enthalpy at 0 K = 0.029 eV per atom
ρ = 8.9 g/cm3

The structure in POSCAR format:
```
SmDyLu2
1.0
5.002 0.000 0.000
0.000 5.002 0.000
0.000 0.000 4.934
Sm Dy Lu
1 1 2
direct
0.000 0.000 0.000
0.500 0.500 0.000
0.000 0.500 0.500
0.500 0.000 0.500
```

=====

14.
# SmDyLu4

A relaxed SmDyLu4 crystal (PBE, Alexandria).

Output
DFT total energy = -4.284 eV per atom
formation enthalpy at 0 K = 0.284 eV per atom
ρ = 8.4 g/cm3

The structure in POSCAR format:
```
SmDyLu4
1.0
0.000 4.636 4.636
4.636 0.000 4.636
4.636 4.636 0.000
Sm Dy Lu
1 1 4
direct
0.000 0.000 0.000
0.750 0.750 0.750
0.375 0.375 0.375
0.375 0.375 0.875
0.375 0.875 0.375
0.875 0.375 0.375
```

=====

15.
# SmDy4Lu

A relaxed SmDy4Lu crystal (PBE, Alexandria).

Output
DFT total energy = -4.342 eV per atom
formation enthalpy at 0 K = 0.266 eV per atom
ρ = 8.2 g/cm3

The structure in POSCAR format:
```
SmDy4Lu
1.0
0.000 4.627 4.627
4.627 0.000 4.627
4.627 4.627 0.000
Sm Dy Lu
1 4 1
direct
0.000 0.000 0.000
0.125 0.625 0.625
0.625 0.125 0.625
0.625 0.625 0.125
0.625 0.625 0.625
0.250 0.250 0.250
```

=====

16.
# SmDyLuTh

A relaxed SmDyLuTh crystal (PBE, Alexandria).

Output
DFT total energy = -5.188 eV per atom
formation enthalpy at 0 K = 0.127 eV per atom
ρ = 9.3 g/cm3

The structure in POSCAR format:
```
SmDyLuTh
1.0
8.003 0.000 0.000
0.000 8.003 0.000
0.000 0.000 8.003
Sm Dy Lu Th
4 4 4 4
direct
0.000 0.000 0.000
0.000 0.500 0.500
0.500 0.000 0.500
0.500 0.500 0.000
0.250 0.250 0.250
0.250 0.750 0.750
0.750 0.250 0.750
0.750 0.750 0.250
0.250 0.250 0.750
0.250 0.750 0.250
0.750 0.250 0.250
0.750 0.750 0.750
0.000 0.000 0.500
0.000 0.500 0.000
0.500 0.000 0.000
0.500 0.500 0.500
```

=====

17.
# SmDyTmLu

A relaxed SmDyTmLu crystal (PBE, Alexandria).

Output
DFT total energy = -4.467 eV per atom
formation enthalpy at 0 K = 0.112 eV per atom
ρ = 8.7 g/cm3

The structure in POSCAR format:
```
SmDyTmLu
1.0
7.958 0.000 0.000
0.000 7.958 0.000
0.000 0.000 7.958
Sm Dy Tm Lu
4 4 4 4
direct
0.000 0.000 0.000
0.000 0.500 0.500
0.500 0.000 0.500
0.500 0.500 0.000
0.000 0.000 0.500
0.000 0.500 0.000
0.500 0.000 0.000
0.500 0.500 0.500
0.250 0.250 0.250
0.250 0.750 0.750
0.750 0.250 0.750
0.750 0.750 0.250
0.250 0.250 0.750
0.250 0.750 0.250
0.750 0.250 0.250
0.750 0.750 0.750
```

=====

18.
# SmDyYLu

A relaxed SmDyYLu crystal (PBE, Alexandria).

Output
DFT total energy = -4.956 eV per atom
formation enthalpy at 0 K = 0.120 eV per atom
ρ = 7.5 g/cm3
energy relative to the lowest polymorph listed for this composition = 0.0 kJ/mol of formula units

The structure in POSCAR format:
```
SmDyYLu
1.0
8.006 0.000 0.000
0.000 8.006 0.000
0.000 0.000 8.006
Sm Dy Y Lu
4 4 4 4
direct
0.000 0.000 0.000
0.000 0.500 0.500
0.500 0.000 0.500
0.500 0.500 0.000
0.000 0.000 0.500
0.000 0.500 0.000
0.500 0.000 0.000
0.500 0.500 0.500
0.250 0.250 0.250
0.250 0.750 0.750
0.750 0.250 0.750
0.750 0.750 0.250
0.250 0.250 0.750
0.250 0.750 0.250
0.750 0.250 0.250
0.750 0.750 0.750
```

=====

19.
# DyLuSn

A relaxed DyLuSn crystal (PBE, Alexandria).

Output
DFT total energy = -4.713 eV per atom
formation enthalpy at 0 K = -0.337 eV per atom
ρ = 9.0 g/cm3
energy relative to the lowest polymorph listed for this composition = 24.1 kJ/mol of formula units

The structure in POSCAR format:
```
DyLuSn
1.0
5.085 0.000 0.000
-2.542 4.404 0.000
0.000 0.000 3.754
Dy Lu Sn
1 1 1
direct
0.000 0.000 0.000
0.667 0.333 0.450
0.333 0.667 0.677
```

=====

20.
# DyLu2Sn

A relaxed DyLu2Sn crystal (PBE, Alexandria).

Output
DFT total energy = -4.370 eV per atom
formation enthalpy at 0 K = 0.042 eV per atom
ρ = 8.9 g/cm3
energy relative to the lowest polymorph listed for this composition = 165.2 kJ/mol of formula units

The structure in POSCAR format:
```
DyLu2Sn
1.0
3.427 0.000 0.000
-1.714 2.968 0.000
0.000 0.000 34.877
Dy Lu Sn
3 6 3
direct
0.000 0.000 0.000
0.333 0.667 0.667
0.667 0.333 0.333
0.000 0.000 0.095
0.000 0.000 0.905
0.333 0.667 0.571
0.333 0.667 0.762
0.667 0.333 0.238
0.667 0.333 0.429
0.000 0.000 0.500
0.333 0.667 0.167
0.667 0.333 0.833
```